Entry 1:
{"formula": "CePm8Tm3", "functional": "PBE", "state": "relaxed", "energy_ev_per_fu": -50.57, "total_magnetization_mub_per_fu": 0.00, "lattice_angstrom": [[-4.333, 4.333, 5.743], [4.333, -4.333, 5.743], [4.333, 4.333, -5.743]], "species": ["Ce", "Pm", "Pm", "Pm", "Pm", "Pm", "Pm", "Pm", "Pm", "Tm", "Tm", "Tm"], "fractional_positions": [[0.000, 0.000, 0.000], [0.118, 0.118, 0.756], [0.215, 0.215, 0.473], [0.258, 0.785, 0.000], [0.363, 0.363, 0.244], [0.637, 0.882, 0.000], [0.742, 0.742, 0.527], [0.785, 0.258, 0.000], [0.882, 0.637, 0.000], [0.250, 0.750, 0.500], [0.500, 0.500, 0.000], [0.750, 0.250, 0.500]]}

=====

Entry 2:
{"formula": "Ce2Pm5Tm6", "functional": "PBE", "state": "relaxed", "energy_ev_per_fu": -60.84, "total_magnetization_mub_per_fu": 1.41, "lattice_angstrom": [[11.410, 0.000, 0.000], [0.000, 20.786, 0.000], [0.000, 0.000, 3.542]], "species": ["Ce", "Ce", "Ce", "Ce", "Pm", "Pm", "Pm", "Pm", "Pm", "Pm", "Pm", "Pm", "Pm", "Pm", "Tm", "Tm", "Tm", "Tm", "Tm", "Tm", "Tm", "Tm", "Tm", "Tm", "Tm", "Tm"], "fractional_positions": [[0.190, 0.236, 0.000], [0.310, 0.736, 0.000], [0.690, 0.264, 0.000], [0.810, 0.764, 0.000], [0.000, 0.500, 0.500], [0.061, 0.794, 0.500], [0.190, 0.078, 0.500], [0.310, 0.578, 0.500], [0.439, 0.294, 0.500], [0.500, 0.000, 0.500], [0.561, 0.706, 0.500], [0.690, 0.422, 0.500], [0.810, 0.922, 0.500], [0.939, 0.206, 0.500], [0.063, 0.647, 0.000], [0.083, 0.938, 0.000], [0.187, 0.376, 0.500], [0.313, 0.876, 0.500], [0.417, 0.438, 0.000], [0.437, 0.147, 0.000], [0.563, 0.853, 0.000], [0.583, 0.562, 0.000], [0.687, 0.124, 0.500], [0.813, 0.624, 0.500], [0.917, 0.062, 0.000], [0.937, 0.353, 0.000]]}

=====

Entry 3:
{"formula": "CePm2Tm5", "functional": "PBE", "state": "relaxed", "energy_ev_per_fu": -37.15, "total_magnetization_mub_per_fu": 0.99, "lattice_angstrom": [[9.365, -3.006, 0.000], [9.365, 3.006, 0.000], [-2.355, 0.000, 8.941]], "species": ["Ce", "Ce", "Pm", "Pm", "Pm", "Pm", "Tm", "Tm", "Tm", "Tm", "Tm", "Tm", "Tm", "Tm", "Tm", "Tm"], "fractional_positions": [[0.000, 0.500, 0.000], [0.500, 0.000, 0.500], [0.056, 0.696, 0.374], [0.304, 0.944, 0.126], [0.696, 0.056, 0.874], [0.944, 0.304, 0.626], [0.112, 0.520, 0.689], [0.170, 0.830, 0.750], [0.267, 0.610, 0.064], [0.390, 0.733, 0.436], [0.480, 0.888, 0.811], [0.520, 0.112, 0.189], [0.610, 0.267, 0.564], [0.733, 0.390, 0.936], [0.830, 0.170, 0.250], [0.888, 0.480, 0.311]]}

=====

Entry 4:
{"formula": "Ce4PmTm", "functional": "PBE", "state": "relaxed", "energy_ev_per_fu": -31.73, "total_magnetization_mub_per_fu": 4.16, "lattice_angstrom": [[0.000, 4.473, 4.473], [4.473, 0.000, 4.473], [4.473, 4.473, 0.000]], "species": ["Ce", "Ce", "Ce", "Ce", "Pm", "Tm"], "fractional_positions": [[0.120, 0.120, 0.120], [0.120, 0.120, 0.639], [0.120, 0.639, 0.120], [0.639, 0.120, 0.120], [0.500, 0.500, 0.500], [0.750, 0.750, 0.750]]}

=====

Entry 5:
{"formula": "Ce2PmTm", "functional": "PBE", "state": "relaxed", "e_above_lowest_polymorph_mev_per_atom": 145, "total_magnetization_mub_per_fu": 1.56, "lattice_angstrom": [[3.356, 0.000, 0.000], [-1.678, 2.906, 0.000], [0.000, 0.000, 37.134]], "species": ["Ce", "Ce", "Ce", "Ce", "Ce", "Ce", "Pm", "Pm", "Pm", "Tm", "Tm", "Tm"], "fractional_positions": [[0.000, 0.000, 0.084], [0.000, 0.000, 0.916], [0.333, 0.667, 0.582], [0.333, 0.667, 0.751], [0.667, 0.333, 0.249], [0.667, 0.333, 0.418], [0.000, 0.000, 0.500], [0.333, 0.667, 0.167], [0.667, 0.333, 0.833], [0.000, 0.000, 0.000], [0.333, 0.667, 0.667], [0.667, 0.333, 0.333]]}

=====

Entry 6:
{"formula": "CePm3Tm2", "functional": "PBE", "state": "relaxed", "energy_ev_per_fu": -28.83, "total_magnetization_mub_per_fu": 0.85, "lattice_angstrom": [[6.176, -3.567, 0.000], [6.176, 3.567, 0.000], [-6.171, 0.000, 8.767]], "species": ["Ce", "Ce", "Pm", "Pm", "Pm", "Pm", "Pm", "Pm", "Tm", "Tm", "Tm", "Tm"], "fractional_positions": [[0.249, 0.751, 0.000], [0.751, 0.249, 0.000], [0.084, 0.084, 0.331], [0.250, 0.250, 0.000], [0.416, 0.416, 0.669], [0.584, 0.584, 0.331], [0.750, 0.750, 0.000], [0.916, 0.916, 0.669], [0.084, 0.583, 0.334], [0.417, 0.916, 0.666], [0.583, 0.084, 0.334], [0.916, 0.417, 0.666]]}

=====

Entry 7:
{"formula": "CePm5Tm12", "functional": "PBE", "state": "relaxed", "energy_ev_per_fu": -82.67, "total_magnetization_mub_per_fu": 0.95, "lattice_angstrom": [[10.601, 0.000, 0.000], [0.000, 5.009, 0.000], [-0.037, 0.000, 10.612]], "species": ["Ce", "Pm", "Pm", "Pm", "Pm", "Pm", "Tm", "Tm", "Tm", "Tm", "Tm", "Tm", "Tm", "Tm", "Tm", "Tm", "Tm", "Tm"], "fractional_positions": [[0.000, 0.000, 0.000], [0.164, 0.500, 0.836], [0.333, 0.000, 0.667], [0.500, 0.500, 0.500], [0.667, 0.000, 0.333], [0.836, 0.500, 0.164], [0.002, 0.000, 0.334], [0.165, 0.500, 0.498], [0.167, 0.500, 0.167], [0.331, 0.000, 0.331], [0.334, 0.000, 0.002], [0.498, 0.500, 0.165], [0.502, 0.500, 0.835], [0.666, 0.000, 0.998], [0.669, 0.000, 0.669], [0.833, 0.500, 0.833], [0.835, 0.500, 0.502], [0.998, 0.000, 0.666]]}

=====

Entry 8:
{"formula": "CePmTm4", "functional": "PBE", "state": "relaxed", "e_above_lowest_polymorph_mev_per_atom": 80, "total_magnetization_mub_per_fu": 1.01, "lattice_angstrom": [[3.408, -9.713, 0.000], [3.408, 9.713, 0.000], [0.000, 0.000, 5.604]], "species": ["Ce", "Ce", "Pm", "Pm", "Tm", "Tm", "Tm", "Tm", "Tm", "Tm", "Tm", "Tm"], "fractional_positions": [[0.125, 0.875, 0.750], [0.875, 0.125, 0.250], [0.375, 0.625, 0.250], [0.625, 0.375, 0.750], [0.042, 0.459, 0.750], [0.208, 0.292, 0.750], [0.292, 0.208, 0.250], [0.459, 0.042, 0.250], [0.541, 0.958, 0.750], [0.708, 0.792, 0.750], [0.792, 0.708, 0.250], [0.958, 0.541, 0.250]]}

=====

Entry 9:
{"formula": "CePm4Tm", "functional": "PBE", "state": "relaxed", "e_above_lowest_polymorph_mev_per_atom": 205, "total_magnetization_mub_per_fu": 1.50, "lattice_angstrom": [[-3.349, 5.860, 5.110], [3.349, -5.860, 5.110], [3.349, 5.860, -5.110]], "species": ["Ce", "Ce", "Pm", "Pm", "Pm", "Pm", "Pm", "Pm", "Pm", "Pm", "Tm", "Tm"], "fractional_positions": [[0.000, 0.000, 0.000], [0.500, 0.000, 0.500], [0.172, 0.173, 0.500], [0.172, 0.666, 0.506], [0.172, 0.672, 0.000], [0.341, 0.334, 0.006], [0.659, 0.666, 0.994], [0.828, 0.328, 0.000], [0.828, 0.334, 0.494], [0.828, 0.827, 0.500], [0.500, 0.000, 0.000], [0.500, 0.500, 0.500]]}

=====

Entry 10:
{"formula": "CePm6Y3Tm2", "functional": "PBE", "state": "relaxed", "energy_ev_per_fu": -62.33, "total_magnetization_mub_per_fu": 1.37, "lattice_angstrom": [[3.120, -5.405, 0.000], [3.120, 5.405, 0.000], [-2.081, 0.000, 11.685]], "species": ["Ce", "Pm", "Pm", "Pm", "Pm", "Pm", "Pm", "Y", "Y", "Y", "Tm", "Tm"], "fractional_positions": [[0.000, 0.000, 0.000], [0.082, 0.414, 0.248], [0.249, 0.249, 0.752], [0.414, 0.082, 0.248], [0.586, 0.918, 0.752], [0.751, 0.751, 0.248], [0.918, 0.586, 0.752], [0.167, 0.833, 0.500], [0.500, 0.500, 0.500], [0.833, 0.167, 0.500], [0.334, 0.666, 0.000], [0.666, 0.334, 0.000]]}

=====

Entry 11:
{"formula": "Ce2PmY3Tm6", "functional": "PBE", "state": "relaxed", "energy_ev_per_fu": -62.20, "total_magnetization_mub_per_fu": 1.74, "lattice_angstrom": [[3.056, -5.292, 0.000], [3.056, 5.292, 0.000], [-2.036, 0.000, 11.477]], "species": ["Ce", "Ce", "Pm", "Y", "Y", "Y", "Tm", "Tm", "Tm", "Tm", "Tm", "Tm"], "fractional_positions": [[0.167, 0.833, 0.000], [0.833, 0.167, 0.000], [0.500, 0.500, 0.000], [0.000, 0.000, 0.500], [0.334, 0.666, 0.500], [0.666, 0.334, 0.500], [0.081, 0.417, 0.751], [0.247, 0.247, 0.249], [0.417, 0.081, 0.751], [0.583, 0.919, 0.249], [0.753, 0.753, 0.751], [0.919, 0.583, 0.249]]}

=====

Entry 12:
{"formula": "CePmY3Tm", "functional": "PBE", "state": "relaxed", "energy_ev_per_fu": -33.66, "total_magnetization_mub_per_fu": 1.40, "lattice_angstrom": [[2.918, -5.722, 0.000], [2.918, 5.722, 0.000], [0.000, 0.000, 11.671]], "species": ["Ce", "Ce", "Pm", "Pm", "Y", "Y", "Y", "Y", "Y", "Y", "Tm", "Tm"], "fractional_positions": [[0.006, 0.994, 0.750], [0.994, 0.006, 0.250], [0.500, 0.500, 0.000], [0.500, 0.500, 0.500], [0.171, 0.829, 0.006], [0.171, 0.829, 0.494], [0.326, 0.674, 0.750], [0.674, 0.326, 0.250], [0.829, 0.171, 0.506], [0.829, 0.171, 0.994], [0.333, 0.667, 0.250], [0.667, 0.333, 0.750]]}

=====

Entry 13:
{"formula": "CePm2Y6Tm3", "functional": "PBE", "state": "relaxed", "energy_ev_per_fu": -67.10, "total_magnetization_mub_per_fu": 1.01, "lattice_angstrom": [[3.091, -5.352, 0.000], [3.091, 5.352, 0.000], [-2.062, 0.000, 11.615]], "species": ["Ce", "Pm", "Pm", "Y", "Y", "Y", "Y", "Y", "Y", "Tm", "Tm", "Tm"], "fractional_positions": [[0.000, 0.000, 0.000], [0.333, 0.667, 0.000], [0.667, 0.333, 0.000], [0.085, 0.416, 0.253], [0.247, 0.247, 0.747], [0.416, 0.085, 0.253], [0.584, 0.915, 0.747], [0.753, 0.753, 0.253], [0.915, 0.584, 0.747], [0.167, 0.833, 0.500], [0.500, 0.500, 0.500], [0.833, 0.167, 0.500]]}

=====

Entry 14:
{"formula": "CePmY2Tm", "functional": "PBE", "state": "relaxed", "energy_ev_per_fu": -26.65, "total_magnetization_mub_per_fu": 1.59, "lattice_angstrom": [[5.847, 0.000, 0.000], [0.000, 7.704, 0.000], [0.000, 0.000, 7.310]], "species": ["Ce", "Ce", "Pm", "Pm", "Y", "Y", "Y", "Y", "Tm", "Tm"], "fractional_positions": [[0.000, 0.000, 0.000], [0.500, 0.000, 0.000], [0.250, 0.500, 0.160], [0.750, 0.500, 0.840], [0.250, 0.289, 0.674], [0.250, 0.711, 0.674], [0.750, 0.289, 0.326], [0.750, 0.711, 0.326], [0.250, 0.000, 0.382], [0.750, 0.000, 0.618]]}

=====

Entry 15:
{"formula": "CePmYTm", "functional": "PBE", "state": "relaxed", "energy_ev_per_fu": -20.86, "total_magnetization_mub_per_fu": 2.69, "lattice_angstrom": [[8.048, 0.000, 0.000], [0.000, 8.048, 0.000], [0.000, 0.000, 8.048]], "species": ["Ce", "Ce", "Ce", "Ce", "Pm", "Pm", "Pm", "Pm", "Y", "Y", "Y", "Y", "Tm", "Tm", "Tm", "Tm"], "fractional_positions": [[0.000, 0.000, 0.000], [0.000, 0.500, 0.500], [0.500, 0.000, 0.500], [0.500, 0.500, 0.000], [0.250, 0.250, 0.250], [0.250, 0.750, 0.750], [0.750, 0.250, 0.750], [0.750, 0.750, 0.250], [0.000, 0.000, 0.500], [0.000, 0.500, 0.000], [0.500, 0.000, 0.000], [0.500, 0.500, 0.500], [0.250, 0.250, 0.750], [0.250, 0.750, 0.250], [0.750, 0.250, 0.250], [0.750, 0.750, 0.750]]}

=====

Entry 16:
{"formula": "CePm2YTm5", "functional": "PBE", "state": "relaxed", "energy_ev_per_fu": -41.81, "total_magnetization_mub_per_fu": 0.96, "lattice_angstrom": [[-4.281, 4.281, 7.686], [4.281, -4.281, 7.686], [4.281, 4.281, -7.686]], "species": ["Ce", "Ce", "Pm", "Pm", "Pm", "Pm", "Y", "Y", "Tm", "Tm", "Tm", "Tm", "Tm", "Tm", "Tm", "Tm", "Tm", "Tm"], "fractional_positions": [[0.250, 0.750, 0.500], [0.750, 0.250, 0.500], [0.119, 0.619, 0.739], [0.381, 0.119, 0.500], [0.619, 0.881, 0.500], [0.881, 0.381, 0.261], [0.250, 0.250, 0.000], [0.750, 0.750, 0.000], [0.000, 0.000, 0.000], [0.065, 0.155, 0.500], [0.155, 0.655, 0.090], [0.345, 0.435, 0.500], [0.435, 0.935, 0.090], [0.500, 0.500, 0.000], [0.565, 0.065, 0.910], [0.655, 0.565, 0.500], [0.845, 0.345, 0.910], [0.935, 0.845, 0.500]]}

=====

Entry 17:
{"formula": "CePm2YTm", "functional": "PBE", "state": "relaxed", "energy_ev_per_fu": -24.93, "total_magnetization_mub_per_fu": 0.52, "lattice_angstrom": [[6.660, 0.000, 0.000], [0.000, 8.245, 0.000], [-0.071, 0.000, 6.106]], "species": ["Ce", "Ce", "Pm", "Pm", "Pm", "Pm", "Y", "Y", "Tm", "Tm"], "fractional_positions": [[0.000, 0.000, 0.000], [0.000, 0.000, 0.500], [0.264, 0.306, 0.254], [0.264, 0.694, 0.754], [0.736, 0.306, 0.246], [0.736, 0.694, 0.746], [0.000, 0.355, 0.750], [0.000, 0.645, 0.250], [0.500, 0.119, 0.750], [0.500, 0.881, 0.250]]}

=====

Entry 18:
{"formula": "CePm3Y6Tm2", "functional": "PBE", "state": "relaxed", "energy_ev_per_fu": -67.48, "total_magnetization_mub_per_fu": 1.13, "lattice_angstrom": [[3.101, -5.369, 0.000], [3.101, 5.369, 0.000], [-2.064, 0.000, 11.657]], "species": ["Ce", "Pm", "Pm", "Pm", "Y", "Y", "Y", "Y", "Y", "Y", "Tm", "Tm"], "fractional_positions": [[0.000, 0.000, 0.000], [0.168, 0.832, 0.500], [0.500, 0.500, 0.500], [0.832, 0.168, 0.500], [0.083, 0.414, 0.246], [0.249, 0.249, 0.753], [0.414, 0.083, 0.246], [0.586, 0.917, 0.754], [0.751, 0.751, 0.247], [0.917, 0.586, 0.754], [0.333, 0.667, 0.000], [0.667, 0.333, 0.000]]}

=====

Entry 19:
{"formula": "CePmTmZn", "functional": "PBE", "state": "relaxed", "energy_ev_per_fu": -16.03, "total_magnetization_mub_per_fu": 1.61, "lattice_angstrom": [[7.549, 0.000, 0.000], [0.000, 7.549, 0.000], [0.000, 0.000, 7.549]], "species": ["Ce", "Ce", "Ce", "Ce", "Pm", "Pm", "Pm", "Pm", "Tm", "Tm", "Tm", "Tm", "Zn", "Zn", "Zn", "Zn"], "fractional_positions": [[0.000, 0.000, 0.000], [0.000, 0.500, 0.500], [0.500, 0.000, 0.500], [0.500, 0.500, 0.000], [0.250, 0.250, 0.250], [0.250, 0.750, 0.750], [0.750, 0.250, 0.750], [0.750, 0.750, 0.250], [0.000, 0.000, 0.500], [0.000, 0.500, 0.000], [0.500, 0.000, 0.000], [0.500, 0.500, 0.500], [0.250, 0.250, 0.750], [0.250, 0.750, 0.250], [0.750, 0.250, 0.250], [0.750, 0.750, 0.750]]}

=====

Entry 20:
{"formula": "CePmTmZr", "functional": "PBE", "state": "relaxed", "energy_ev_per_fu": -22.85, "total_magnetization_mub_per_fu": 0.44, "lattice_angstrom": [[7.713, 0.000, 0.000], [0.000, 7.713, 0.000], [0.000, 0.000, 7.713]], "species": ["Ce", "Ce", "Ce", "Ce", "Pm", "Pm", "Pm", "Pm", "Tm", "Tm", "Tm", "Tm", "Zr", "Zr", "Zr", "Zr"], "fractional_positions": [[0.000, 0.000, 0.000], [0.000, 0.500, 0.500], [0.500, 0.000, 0.500], [0.500, 0.500, 0.000], [0.000, 0.000, 0.500], [0.000, 0.500, 0.000], [0.500, 0.000, 0.000], [0.500, 0.500, 0.500], [0.250, 0.250, 0.250], [0.250, 0.750, 0.750], [0.750, 0.250, 0.750], [0.750, 0.750, 0.250], [0.250, 0.250, 0.750], [0.250, 0.750, 0.250], [0.750, 0.250, 0.250], [0.750, 0.750, 0.750]]}

=====

Entry 21:
{"formula": "CePmV", "functional": "PBE", "state": "relaxed", "energy_ev_per_fu": -18.87, "total_magnetization_mub_per_fu": 0.00, "lattice_angstrom": [[3.442, 0.000, 0.000], [-0.375, 4.420, 0.000], [-0.129, -0.217, 10.019]], "species": ["Ce", "Ce", "Pm", "Pm", "V", "V"], "fractional_positions": [[0.116, 0.268, 0.153], [0.884, 0.732, 0.847], [0.229, 0.255, 0.616], [0.771, 0.745, 0.384], [0.481, 0.713, 0.093], [0.519, 0.287, 0.907]]}